The following is a DFT calculation (GGA+U) of an optimized crystal structure of BaCa2FeO4.

D(E_F)   0.00 states/eV/cell
Symmetry   No. 63
Calculated volume   15.68 Å³ per atom
E_tot   -6.33 eV/atom

Unit cell a=6.1458 b=6.1458 c=12.0356 alpha=90.00 beta=90.00 gamma=146.51
Last column: nearest neighbours and their distance in Å.
Sites, in units of the cell vectors:
Ba (0.1060, 0.8940, 0.7500)  6 O 2.76-2.88
Ba (0.8940, 0.1060, 0.2500)  6 O 2.76-2.88
Ca (0.3692, 0.6308, 0.5410)  5 O 2.29-2.49
Ca (0.3692, 0.6308, 0.9590)  5 O 2.29-2.49
Ca (0.6308, 0.3692, 0.0410)  5 O 2.29-2.49
Ca (0.6308, 0.3692, 0.4590)  5 O 2.29-2.49
Fe (0.1600, 0.8400, 0.2500)  4 O 1.99-2.04
Fe (0.8400, 0.1600, 0.7500)  4 O 1.99-2.04
O (0.0000, 0.0000, 0.0000)  4 Ca 2.40
O (0.0000, 0.0000, 0.5000)  4 Ca 2.40
O (0.2586, 0.7414, 0.1154)  1 Fe 1.99
O (0.2586, 0.7414, 0.3846)  1 Fe 1.99
O (0.4259, 0.5741, 0.7500)  2 Fe 2.04
O (0.5741, 0.4259, 0.2500)  2 Fe 2.04
O (0.7414, 0.2586, 0.6154)  1 Fe 1.99
O (0.7414, 0.2586, 0.8846)  1 Fe 1.99